Computed, not measured: AcHfSc after structural relaxation at the PBE-GGA level of DFT.

Values from the calculation:
ΔE_f, meV per atom: 883
M_tot, μB/f.u.: 2.1

Cell lengths 5.2069, 5.2069, 5.2069 Å; angles 60.00, 60.00, 60.00 degrees
With the nearest neighbours (Å) after each atom.
Atoms (fractional coordinates):
Ac 0.0000 0.0000 0.0000  4 Hf 3.19
Hf 0.2500 0.2500 0.2500  4 Ac 3.19, 4 Sc 3.19
Sc 0.5000 0.5000 0.5000  4 Hf 3.19



Computed, not measured: TmScCl6 after structural relaxation at the PBE-GGA level of DFT.

Values from the calculation:
E, eV/atom: -4.93
M_tot, μB/f.u.: 0.0

Cell lengths 6.5147, 6.5147, 6.4664 Å; angles 99.68, 99.68, 120.02 degrees
With the nearest neighbours (Å) after each atom.
Atoms (fractional coordinates):
Tm 0.0000 0.0000 0.0000  6 Cl 2.60
Sc 0.3321 0.6679 0.0000  6 Cl 2.49-2.50
Cl 0.1010 0.4234 0.2333  1 Sc 2.50, 1 Tm 2.60
Cl 0.2433 0.2689 0.7665  1 Sc 2.50, 1 Tm 2.60
Cl 0.3993 0.0549 0.2334  1 Sc 2.49, 1 Tm 2.60
Cl 0.5766 0.8990 0.7667  1 Sc 2.50, 1 Tm 2.60
Cl 0.7311 0.7567 0.2335  1 Sc 2.50, 1 Tm 2.60
Cl 0.9451 0.6007 0.7666  1 Sc 2.49, 1 Tm 2.60